Record 1
# NaSrGaF6

NaSrGaF6 after structural relaxation (PBE, Alexandria via LeMat-Bulk).

abc: 5.4307 9.4222 10.4855
angles: 90.00 90.00 90.00
With the nearest neighbours (Å) after each atom.
Element x y z (fractional)
1 Na 0.0403 0.1487 0.0849  6 F 2.27-2.43
2 Na 0.4597 0.8513 0.5849  6 F 2.27-2.43
3 Na 0.5403 0.3513 0.9151  6 F 2.27-2.43
4 Na 0.9597 0.6487 0.4151  6 F 2.27-2.43
5 Sr 0.0082 0.6834 0.8262  6 F 2.40-2.62
6 Sr 0.4918 0.3166 0.3262  6 F 2.40-2.62
7 Sr 0.5082 0.8166 0.1738  6 F 2.40-2.62
8 Sr 0.9918 0.1834 0.6738  6 F 2.40-2.62
9 Ga 0.0359 0.5003 0.1268  6 F 1.91-1.94
10 Ga 0.4641 0.4997 0.6268  6 F 1.91-1.94
11 Ga 0.5359 0.9997 0.8732  6 F 1.91-1.94
12 Ga 0.9641 0.0003 0.3732  6 F 1.91-1.94
13 F 0.1382 0.9929 0.5316  1 Ga 1.91
14 F 0.1594 0.8417 0.3150  1 Ga 1.93
15 F 0.2072 0.1236 0.2985  1 Ga 1.93
16 F 0.2148 0.5200 0.2838  1 Ga 1.92
17 F 0.2174 0.6566 0.0505  1 Ga 1.94
18 F 0.2176 0.6414 0.5851  1 Ga 1.94
19 F 0.2824 0.3586 0.0851  1 Ga 1.94
20 F 0.2826 0.3434 0.5505  1 Ga 1.94
21 F 0.2852 0.4800 0.7838  1 Ga 1.92
22 F 0.2928 0.8764 0.7985  1 Ga 1.93
23 F 0.3406 0.1583 0.8150  1 Ga 1.93
24 F 0.3618 0.0071 0.0316  1 Ga 1.91
25 F 0.6382 0.5071 0.4684  1 Ga 1.91
26 F 0.6594 0.6583 0.6850  1 Ga 1.93
27 F 0.7072 0.3764 0.7015  1 Ga 1.93
28 F 0.7148 0.9800 0.7162  1 Ga 1.92
29 F 0.7174 0.8434 0.9495  1 Ga 1.94
30 F 0.7176 0.8586 0.4149  1 Ga 1.94
31 F 0.7824 0.1414 0.9149  1 Ga 1.94
32 F 0.7826 0.1566 0.4495  1 Ga 1.94
33 F 0.7852 0.0200 0.2162  1 Ga 1.92
34 F 0.7928 0.6236 0.2015  1 Ga 1.93
35 F 0.8406 0.3417 0.1850  1 Ga 1.93
36 F 0.8618 0.4929 0.9684  1 Ga 1.91

Summary:
* E_tot: -182.6 eV per cell
* calculated density: 3.6 g/cm³
* space group: P2_12_12_1 (19)
* density of states at the Fermi level: 0.00 states/eV/cell
* V: 537 Å³ per cell

Record 2
# PuSnH

PuSnH after structural relaxation (PBE, Alexandria via LeMat-Bulk).

abc: 3.6701 3.6701 5.0916
angles: 90.00 90.00 120.00
With the nearest neighbours (Å) after each atom.
Element x y z (fractional)
1 Pu 0.0000 0.0000 0.0000  3 H 2.12
2 Sn 0.6667 0.3333 0.5000  6 Pu 3.31, 6 H 3.31, 6 Sn 3.67
3 H 0.3333 0.6667 0.0000  3 Pu 2.12

Summary:
* E_tot: -22.5 eV per cell
* calculated density: 10.2 g/cm³
* space group: P-6m2 (187)
* density of states at the Fermi level: 6.39 states/eV/cell
* V: 59 Å³ per cell

Record 3
# ScCuAgH2

ScCuAgH2 after structural relaxation (PBE, Alexandria via LeMat-Bulk).

abc: 3.8079 3.8079 5.1663
angles: 90.00 90.00 90.00
With the nearest neighbours (Å) after each atom.
Element x y z (fractional)
1 Sc 0.0000 0.0000 0.0000  2 Cu 2.58, 4 Ag 2.69
2 Cu 0.0000 0.0000 0.5000  4 H 1.90
3 Ag 0.5000 0.5000 0.0000  4 Sc 2.69
4 H 0.0000 0.5000 0.5000  2 Cu 1.90
5 H 0.5000 0.0000 0.5000  2 Cu 1.90

Summary:
* E_tot: -17.1 eV per cell
* calculated density: 4.8 g/cm³
* space group: P4/mmm (123)
* density of states at the Fermi level: 2.62 states/eV/cell
* V: 75 Å³ per cell

Record 4
# SbOs4Rh

SbOs4Rh after structural relaxation (PBE, Alexandria via LeMat-Bulk).

abc: 5.2140 5.2140 5.2140
angles: 60.00 60.00 60.00
With the nearest neighbours (Å) after each atom.
Element x y z (fractional)
1 Sb 0.0000 0.0000 0.0000  12 Os 3.06, 4 Rh 3.19
2 Os 0.1287 0.6238 0.6238  6 Os 2.58-2.63
3 Os 0.6238 0.1287 0.6238  6 Os 2.58-2.63
4 Os 0.6238 0.6238 0.1287  6 Os 2.58-2.63
5 Os 0.6238 0.6238 0.6238  6 Os 2.58-2.63
6 Rh 0.2500 0.2500 0.2500  12 Os 3.05, 4 Sb 3.19

Summary:
* E_tot: -50.9 eV per cell
* calculated density: 16.3 g/cm³
* space group: F-43m (216)
* density of states at the Fermi level: 11.54 states/eV/cell
* V: 100 Å³ per cell

Record 5
# K3MnN

K3MnN after structural relaxation (PBE, Alexandria via LeMat-Bulk).

abc: 6.7009 6.7009 6.7009
angles: 90.00 90.00 90.00
With the nearest neighbours (Å) after each atom.
Element x y z (fractional)
1 K 0.0000 0.0000 0.5000  2 Mn 3.35
2 K 0.0000 0.5000 0.0000  2 Mn 3.35
3 K 0.5000 0.0000 0.0000  2 Mn 3.35
4 Mn 0.0000 0.0000 0.0000  6 K 3.35
5 N 0.5000 0.5000 0.5000  12 K 4.74

Summary:
* E_tot: -13.0 eV per cell
* calculated density: 1.0 g/cm³
* space group: Pm-3m (221)
* density of states at the Fermi level: 16.86 states/eV/cell
* V: 301 Å³ per cell

Record 6
# LaCeZnPd

LaCeZnPd after structural relaxation (PBE, Alexandria via LeMat-Bulk).

abc: 5.1875 5.1875 5.1875
angles: 60.00 60.00 60.00
With the nearest neighbours (Å) after each atom.
Element x y z (fractional)
1 La 0.0000 0.0000 0.0000  4 Zn 3.18, 4 Pd 3.18
2 Ce 0.5000 0.5000 0.5000  4 Zn 3.18, 4 Pd 3.18
3 Zn 0.7500 0.7500 0.7500  4 La 3.18, 4 Ce 3.18
4 Pd 0.2500 0.2500 0.2500  4 La 3.18, 4 Ce 3.18

Summary:
* E_tot: -19.0 eV per cell
* calculated density: 7.6 g/cm³
* space group: F-43m (216)
* density of states at the Fermi level: 8.69 states/eV/cell
* energy relative to the elements: -0.418 eV/atom
* V: 99 Å³ per cell

Record 7
# KGe2Au

KGe2Au after structural relaxation (PBE, Alexandria via LeMat-Bulk).

abc: 9.9364 9.9364 9.9364
angles: 150.53 150.53 42.16
With the nearest neighbours (Å) after each atom.
Element x y z (fractional)
1 K 0.0000 0.0000 0.0000  4 Au 3.57, 8 Ge 3.58-3.74
2 K 0.7500 0.2500 0.5000  4 Au 3.57, 8 Ge 3.58-3.74
3 Ge 0.3522 0.1250 0.7272  2 Ge 2.54, 2 Au 2.64
4 Ge 0.3750 0.6478 0.7728  2 Ge 2.54, 2 Au 2.64
5 Ge 0.3978 0.6250 0.2728  2 Ge 2.54, 2 Au 2.64
6 Ge 0.8750 0.6022 0.2272  2 Ge 2.54, 2 Au 2.64
7 Au 0.2500 0.7500 0.5000  4 Ge 2.64
8 Au 0.5000 0.5000 0.0000  4 Ge 2.64

Summary:
* E_tot: -27.2 eV per cell
* calculated density: 5.3 g/cm³
* space group: I-42d (122)
* density of states at the Fermi level: 2.22 states/eV/cell
* energy relative to the elements: 0.003 eV/atom
* V: 237 Å³ per cell

Record 8
# AlCrPdRh

AlCrPdRh after structural relaxation (PBE, Alexandria via LeMat-Bulk).

abc: 4.3255 4.3255 4.3255
angles: 60.00 60.00 60.00
With the nearest neighbours (Å) after each atom.
Element x y z (fractional)
1 Al 0.0000 0.0000 0.0000  4 Rh 2.65, 4 Pd 2.65
2 Cr 0.5000 0.5000 0.5000  4 Rh 2.65, 4 Pd 2.65
3 Pd 0.2500 0.2500 0.2500  4 Cr 2.65, 4 Al 2.65
4 Rh 0.7500 0.7500 0.7500  4 Al 2.65, 4 Cr 2.65

Summary:
* E_tot: -27.8 eV per cell
* calculated density: 8.4 g/cm³
* space group: F-43m (216)
* density of states at the Fermi level: 3.96 states/eV/cell
* energy relative to the elements: -0.464 eV/atom
* V: 57 Å³ per cell

Record 9
# La4Te2H

La4Te2H after structural relaxation (PBE, Alexandria via LeMat-Bulk).

abc: 9.4554 9.4554 9.4554
angles: 151.29 151.29 41.06
With the nearest neighbours (Å) after each atom.
Element x y z (fractional)
1 La 0.0000 0.5000 0.5000  2 H 2.34
2 La 0.1758 0.1758 0.0000  1 H 3.11, 5 Te 3.29-3.38
3 La 0.5000 0.0000 0.5000  2 H 2.34
4 La 0.8242 0.8242 0.0000  1 H 3.11, 5 Te 3.29-3.38
5 Te 0.3616 0.3616 0.0000  9 La 3.29-3.39
6 Te 0.6384 0.6384 0.0000  9 La 3.29-3.39
7 H 0.0000 0.0000 0.0000  4 La 2.34

Summary:
* E_tot: -36.3 eV per cell
* calculated density: 6.9 g/cm³
* space group: I4/mmm (139)
* density of states at the Fermi level: 5.92 states/eV/cell
* V: 195 Å³ per cell

Record 10
# Pm5Tl2Ge2

Pm5Tl2Ge2 after structural relaxation (PBE, Alexandria via LeMat-Bulk).

abc: 9.0196 9.0196 8.0185
angles: 90.00 90.00 52.38
With the nearest neighbours (Å) after each atom.
Element x y z (fractional)
1 Pm 0.0000 0.0000 0.0000  4 Ge 3.14-3.16, 2 Tl 3.52
2 Pm 0.0538 0.6936 0.6744  3 Ge 3.02-3.20, 3 Tl 3.23-3.32
3 Pm 0.1936 0.5538 0.1744  3 Ge 3.02-3.20, 3 Tl 3.23-3.32
4 Pm 0.3064 0.9462 0.6744  3 Ge 3.02-3.20, 3 Tl 3.23-3.32
5 Pm 0.4462 0.8064 0.1744  3 Ge 3.02-3.20, 3 Tl 3.23-3.32
6 Pm 0.5000 0.5000 0.5000  4 Ge 3.14-3.16, 2 Tl 3.52
7 Pm 0.5538 0.1936 0.8256  3 Ge 3.02-3.20, 3 Tl 3.23-3.32
8 Pm 0.6936 0.0538 0.3256  3 Ge 3.02-3.20, 3 Tl 3.23-3.32
9 Pm 0.8064 0.4462 0.8256  3 Ge 3.02-3.20, 3 Tl 3.23-3.32
10 Pm 0.9462 0.3064 0.3256  3 Ge 3.02-3.20, 3 Tl 3.23-3.32
11 Tl 0.2173 0.2173 0.0000  7 Pm 3.23-3.52
12 Tl 0.2827 0.2827 0.5000  7 Pm 3.23-3.52
13 Tl 0.7173 0.7173 0.5000  7 Pm 3.23-3.52
14 Tl 0.7827 0.7827 0.0000  7 Pm 3.23-3.52
15 Ge 0.1247 0.8753 0.3720  1 Ge 2.86, 6 Pm 3.02-3.19
16 Ge 0.3753 0.6247 0.8720  1 Ge 2.86, 6 Pm 3.02-3.19
17 Ge 0.6247 0.3753 0.1280  1 Ge 2.86, 6 Pm 3.02-3.19
18 Ge 0.8753 0.1247 0.6280  1 Ge 2.86, 6 Pm 3.02-3.19

Summary:
* E_tot: -85.9 eV per cell
* calculated density: 8.2 g/cm³
* space group: Cmce (64)
* density of states at the Fermi level: 14.97 states/eV/cell
* energy relative to the elements: -0.583 eV/atom
* V: 517 Å³ per cell

Record 11
# DyZn2Cd

DyZn2Cd after structural relaxation (PBE, Alexandria via LeMat-Bulk).

abc: 3.4001 3.4001 7.1147
angles: 90.00 90.00 90.00
With the nearest neighbours (Å) after each atom.
Element x y z (fractional)
1 Dy 0.0000 0.0000 0.0000  8 Zn 3.07, 4 Dy 3.40
2 Zn 0.5000 0.5000 0.2689  4 Cd 2.91, 4 Dy 3.07
3 Zn 0.5000 0.5000 0.7311  4 Cd 2.91, 4 Dy 3.07
4 Cd 0.0000 0.0000 0.5000  8 Zn 2.91

Summary:
* E_tot: -8.7 eV per cell
* calculated density: 8.2 g/cm³
* space group: P4/mmm (123)
* density of states at the Fermi level: 1.42 states/eV/cell
* energy relative to the elements: -0.163 eV/atom
* V: 82 Å³ per cell

Record 12
# ScMnZn

ScMnZn after structural relaxation (PBE, Alexandria via LeMat-Bulk).

abc: 5.4988 5.4988 5.4988
angles: 146.61 146.61 47.94
With the nearest neighbours (Å) after each atom.
Element x y z (fractional)
1 Sc 0.0000 0.0000 0.0000  4 Mn 2.82, 5 Zn 2.95-3.10
2 Mn 0.3289 0.3289 0.0000  4 Zn 2.63, 4 Sc 2.82
3 Zn 0.6915 0.6915 0.0000  4 Mn 2.63

Summary:
* E_tot: -17.0 eV per cell
* calculated density: 5.5 g/cm³
* space group: I4mm (107)
* density of states at the Fermi level: 2.54 states/eV/cell
* energy relative to the elements: -0.078 eV/atom
* V: 50 Å³ per cell

Record 13
# VZnB2

VZnB2 after structural relaxation (PBE, Alexandria via LeMat-Bulk).

abc: 4.7950 4.7950 4.7950
angles: 106.50 106.50 115.58
With the nearest neighbours (Å) after each atom.
Element x y z (fractional)
1 V 0.0000 0.0000 0.0000  4 B 2.15
2 V 0.7500 0.2500 0.5000  4 B 2.15
3 Zn 0.2500 0.7500 0.5000  4 B 2.10
4 Zn 0.5000 0.5000 0.0000  4 B 2.10
5 B 0.1313 0.6250 0.0063  2 Zn 2.10, 2 V 2.15
6 B 0.3750 0.3813 0.5063  2 Zn 2.10, 2 V 2.15
7 B 0.6187 0.1250 0.9937  2 Zn 2.10, 2 V 2.15
8 B 0.8750 0.8687 0.4937  2 Zn 2.10, 2 V 2.15

Summary:
* E_tot: -42.5 eV per cell
* calculated density: 5.4 g/cm³
* space group: I-42d (122)
* density of states at the Fermi level: 3.54 states/eV/cell
* energy relative to the elements: 0.627 eV/atom
* V: 84 Å³ per cell

Record 14
# Pa2AgPb

Pa2AgPb after structural relaxation (PBE, Alexandria via LeMat-Bulk).

abc: 5.3150 5.3150 5.3150
angles: 60.00 60.00 60.00
With the nearest neighbours (Å) after each atom.
Element x y z (fractional)
1 Pa 0.2500 0.2500 0.2500  4 Pb 3.25, 4 Ag 3.25
2 Pa 0.7500 0.7500 0.7500  4 Pb 3.25, 4 Ag 3.25
3 Ag 0.0000 0.0000 0.0000  8 Pa 3.25
4 Pb 0.5000 0.5000 0.5000  8 Pa 3.25

Summary:
* E_tot: -24.1 eV per cell
* calculated density: 12.2 g/cm³
* space group: Fm-3m (225)
* density of states at the Fermi level: 13.02 states/eV/cell
* energy relative to the elements: 0.368 eV/atom
* V: 106 Å³ per cell

Record 15
# PuInHg4

PuInHg4 after structural relaxation (PBE, Alexandria via LeMat-Bulk).

abc: 6.0601 6.0601 6.0601
angles: 60.00 60.00 60.00
With the nearest neighbours (Å) after each atom.
Element x y z (fractional)
1 Pu 0.0000 0.0000 0.0000  12 Hg 3.55, 4 In 3.71
2 In 0.7500 0.7500 0.7500  12 Hg 3.55, 4 Pu 3.71
3 Hg 0.3749 0.3749 0.3749  6 Hg 3.03
4 Hg 0.3749 0.3749 0.8754  6 Hg 3.03
5 Hg 0.3749 0.8754 0.3749  6 Hg 3.03
6 Hg 0.8754 0.3749 0.3749  6 Hg 3.03

Summary:
* E_tot: -18.1 eV per cell
* calculated density: 12.3 g/cm³
* space group: F-43m (216)
* density of states at the Fermi level: 15.78 states/eV/cell
* energy relative to the elements: 0.037 eV/atom
* V: 157 Å³ per cell

Record 16
# PmErMg

PmErMg after structural relaxation (PBE, Alexandria via LeMat-Bulk).

abc: 5.4678 5.4678 3.4117
angles: 90.00 90.00 120.00
With the nearest neighbours (Å) after each atom.
Element x y z (fractional)
1 Pm 0.0000 0.0000 0.0000  3 Mg 3.33, 2 Pm 3.41, 6 Er 3.48-3.71
2 Er 0.3333 0.6667 0.5688  3 Mg 3.28, 2 Er 3.41, 3 Pm 3.48
3 Mg 0.6667 0.3333 0.3074  3 Er 3.28, 3 Pm 3.33, 2 Mg 3.41

Summary:
* E_tot: -10.8 eV per cell
* calculated density: 6.3 g/cm³
* space group: P3m1 (156)
* density of states at the Fermi level: 3.87 states/eV/cell
* energy relative to the elements: 0.043 eV/atom
* V: 88 Å³ per cell

Record 17
# ZrNi2P

ZrNi2P after structural relaxation (PBE, Alexandria via LeMat-Bulk).

abc: 3.7473 3.7473 3.9404
angles: 90.00 90.00 90.00
With the nearest neighbours (Å) after each atom.
Element x y z (fractional)
1 Zr 0.0000 0.0000 0.0000  4 P 2.65, 8 Ni 2.72
2 Ni 0.0000 0.5000 0.5000  4 Ni 2.65, 4 Zr 2.72, 4 P 2.72
3 Ni 0.5000 0.0000 0.5000  4 Ni 2.65, 4 Zr 2.72, 4 P 2.72
4 P 0.5000 0.5000 0.0000  4 Zr 2.65, 8 Ni 2.72

Summary:
* E_tot: -27.6 eV per cell
* calculated density: 7.2 g/cm³
* space group: P4/mmm (123)
* density of states at the Fermi level: 2.49 states/eV/cell
* energy relative to the elements: -0.511 eV/atom
* V: 55 Å³ per cell

Record 18
# UHgBr6

UHgBr6 after structural relaxation (PBE, Alexandria via LeMat-Bulk).

abc: 7.5993 7.6056 8.3467
angles: 89.97 63.01 60.12
With the nearest neighbours (Å) after each atom.
Element x y z (fractional)
1 U 0.0000 0.0000 0.0000  6 Br 2.64
2 Hg 0.0000 0.5000 0.5000  6 Br 3.72-3.73
3 Br 0.1665 0.0062 0.2158  1 U 2.64
4 Br 0.2075 0.1751 0.7865  1 U 2.64
5 Br 0.3878 0.6200 0.7853  1 U 2.64
6 Br 0.6122 0.3800 0.2147  1 U 2.64
7 Br 0.7925 0.8249 0.2135  1 U 2.64
8 Br 0.8335 0.9938 0.7842  1 U 2.64

Summary:
* E_tot: -29.3 eV per cell
* calculated density: 4.3 g/cm³
* space group: P-1 (2)
* density of states at the Fermi level: 2.05 states/eV/cell
* V: 357 Å³ per cell

Record 19
# Cr2Hg2Au

Cr2Hg2Au after structural relaxation (PBE, Alexandria via LeMat-Bulk).

abc: 7.8987 7.8987 2.9801
angles: 90.00 90.00 90.00
With the nearest neighbours (Å) after each atom.
Element x y z (fractional)
1 Cr 0.0838 0.4162 0.0000  1 Cr 1.87
2 Cr 0.4162 0.9162 0.0000  1 Cr 1.87
3 Cr 0.5838 0.0838 0.0000  1 Cr 1.87
4 Cr 0.9162 0.5838 0.0000  1 Cr 1.87
5 Hg 0.2031 0.7031 0.5000  6 Cr 2.81-2.87, 2 Au 2.84, 2 Hg 2.98
6 Hg 0.2969 0.2031 0.5000  6 Cr 2.81-2.87, 2 Au 2.84, 2 Hg 2.98
7 Hg 0.7031 0.7969 0.5000  6 Cr 2.81-2.87, 2 Au 2.84, 2 Hg 2.98
8 Hg 0.7969 0.2969 0.5000  6 Cr 2.81-2.87, 2 Au 2.84, 2 Hg 2.98
9 Au 0.0000 0.0000 0.5000  4 Hg 2.84, 2 Au 2.98
10 Au 0.5000 0.5000 0.5000  4 Hg 2.84, 2 Au 2.98

Summary:
* E_tot: -40.0 eV per cell
* calculated density: 12.5 g/cm³
* space group: P4/mbm (127)
* density of states at the Fermi level: 8.34 states/eV/cell
* energy relative to the elements: 0.623 eV/atom
* V: 186 Å³ per cell

Record 20
# MnZn2Br

MnZn2Br after structural relaxation (PBE, Alexandria via LeMat-Bulk).

abc: 6.4238 6.4238 6.4238
angles: 97.15 97.15 138.68
With the nearest neighbours (Å) after each atom.
Element x y z (fractional)
1 Mn 0.0000 0.0000 0.0000  2 Br 2.27
2 Mn 0.7500 0.2500 0.5000  2 Br 2.27
3 Zn 0.0258 0.6250 0.9008  2 Mn 2.55, 2 Zn 2.83
4 Zn 0.3750 0.2758 0.4008  2 Mn 2.55, 2 Zn 2.83
5 Zn 0.7242 0.1250 0.0992  2 Mn 2.55, 2 Zn 2.83
6 Zn 0.8750 0.9742 0.5992  2 Mn 2.55, 2 Zn 2.83
7 Br 0.2500 0.7500 0.5000  2 Mn 2.27
8 Br 0.5000 0.5000 0.0000  2 Mn 2.27

Summary:
* E_tot: -21.5 eV per cell
* calculated density: 5.4 g/cm³
* space group: I-42d (122)
* density of states at the Fermi level: 15.26 states/eV/cell
* V: 164 Å³ per cell